A geometry-optimized Co2ReTc structure, computed with GGA-PBE.

Unit cell a=4.531 b=4.531 c=4.531 alpha=131.65 beta=131.65 gamma=70.78
Sites, in units of the cell vectors:
Co: 0.000 0.000 0.000
Co: 0.750 0.250 0.500
Re: 0.500 0.500 0.000
Tc: 0.250 0.750 0.500

Properties
- Symmetry: I-4m2 (119)
- Mass density: 13.12 g cm⁻³
- Calculated volume: 50.9 Å³ per cell
- Formation enthalpy at 0 K: 0.06 eV per atom

=====

A geometry-optimized Na2SbPdO4 structure, computed with GGA-PBE.

Unit cell a=5.362 b=5.362 c=5.362 alpha=110.82 beta=110.82 gamma=106.80
Sites, in units of the cell vectors:
Na: 0.000 0.000 0.000
Na: 0.750 0.250 0.500
Sb: 0.250 0.750 0.500
Pd: 0.500 0.500 0.000
O: 0.239 0.724 0.849
O: 0.276 0.125 0.516
O: 0.609 0.761 0.484
O: 0.875 0.391 0.151

Properties
- Formation energy from raw total energies: -1124.4 meV/atom
- Symmetry: I-4 (82)
- Mass density: 4.74 g cm⁻³
- Calculated volume: 118.5 Å³ per cell

=====

A geometry-optimized ScCo structure, computed with GGA-PBE.

Unit cell a=4.970 b=5.195 c=9.861 alpha=90.00 beta=90.00 gamma=90.00
Sites, in units of the cell vectors:
Sc: 0.119 0.078 0.481
Sc: 0.139 0.642 0.692
Sc: 0.361 0.358 0.192
Sc: 0.381 0.922 0.981
Sc: 0.619 0.422 0.519
Sc: 0.639 0.858 0.308
Sc: 0.861 0.142 0.808
Sc: 0.881 0.578 0.019
Co: 0.135 0.596 0.423
Co: 0.136 0.857 0.225
Co: 0.364 0.143 0.725
Co: 0.365 0.404 0.923
Co: 0.635 0.904 0.577
Co: 0.636 0.643 0.775
Co: 0.864 0.357 0.275
Co: 0.865 0.096 0.077

Properties
- Symmetry: P2_12_12_1 (19)
- Mass density: 5.42 g cm⁻³
- Calculated volume: 254.6 Å³ per cell
- Formation enthalpy at 0 K: -0.26 eV per atom